1.
{
  "formula": "Tm3Al2Cd2",
  "functional": "PBE",
  "state": "optimized geometry",
  "sg": "Cmmm (65)",
  "magnetic_moment_mub_per_fu": 0.0,
  "formation_enthalpy_0k_mev_per_atom": -354,
  "cell": [[4.365, 0.000, 0.579], [0.000, 3.417, 0.000], [0.760, 0.000, 11.010]],
  "species": ["Tm", "Tm", "Tm", "Al", "Al", "Cd", "Cd"],
  "fractional_positions": [[0.839, 0.000, 0.322], [0.000, 0.000, 0.000], [0.161, 0.000, 0.678], [0.718, 0.500, 0.565], [0.282, 0.500, 0.435], [0.579, 0.500, 0.841], [0.421, 0.500, 0.159]]
}

2.
{
  "formula": "Tm8AlCd2",
  "functional": "PBE",
  "state": "optimized geometry",
  "sg": "C2/m (12)",
  "magnetic_moment_mub_per_fu": 0.0,
  "formation_enthalpy_0k_mev_per_atom": -138,
  "cell": [[-1.724, -2.887, 3.928], [3.297, -5.525, -2.614], [6.457, 5.510, 3.482]],
  "species": ["Tm", "Tm", "Tm", "Tm", "Tm", "Tm", "Tm", "Tm", "Al", "Cd", "Cd"],
  "fractional_positions": [[0.408, 0.546, 0.815], [0.663, 0.962, 0.327], [0.806, 0.709, 0.612], [0.978, 0.229, 0.956], [0.194, 0.291, 0.388], [0.337, 0.038, 0.673], [0.592, 0.454, 0.185], [0.022, 0.771, 0.044], [0.500, 0.000, 0.000], [0.815, 0.291, 0.629], [0.185, 0.709, 0.371]]
}

3.
{
  "formula": "Tm4AlCd",
  "functional": "PBE",
  "state": "optimized geometry",
  "e_above_lowest_polymorph_mev_per_atom": 0,
  "sg": "C2/m (12)",
  "magnetic_moment_mub_per_fu": 0.0,
  "formation_enthalpy_0k_mev_per_atom": -210,
  "cell": [[3.304, 0.000, 0.956], [2.120, 6.631, -1.141], [-0.502, -3.271, 7.925]],
  "species": ["Tm", "Tm", "Tm", "Tm", "Al", "Cd"],
  "fractional_positions": [[0.833, 0.513, 0.821], [0.320, 0.026, 0.333], [0.167, 0.487, 0.179], [0.680, 0.974, 0.667], [0.500, 0.500, 0.500], [0.000, 0.000, 0.000]]
}

4.
{
  "formula": "Tm3AlCd2",
  "functional": "PBE",
  "state": "optimized geometry",
  "sg": "P4/mmm (123)",
  "magnetic_moment_mub_per_fu": 0.0,
  "formation_enthalpy_0k_mev_per_atom": -333,
  "cell": [[3.619, 0.000, 0.000], [0.000, 3.619, 0.000], [0.000, 0.000, 11.141]],
  "species": ["Tm", "Tm", "Tm", "Al", "Cd", "Cd"],
  "fractional_positions": [[0.000, 0.000, 0.000], [0.000, 0.000, 0.657], [0.000, 0.000, 0.343], [0.500, 0.500, 0.500], [0.500, 0.500, 0.830], [0.500, 0.500, 0.170]]
}

5.
{
  "formula": "Tm8Al2Cd",
  "functional": "PBE",
  "state": "optimized geometry",
  "e_above_lowest_polymorph_mev_per_atom": 0,
  "sg": "C2/m (12)",
  "magnetic_moment_mub_per_fu": 0.0,
  "formation_enthalpy_0k_mev_per_atom": -150,
  "cell": [[-2.574, -3.952, -1.658], [5.988, -3.774, -0.301], [-1.913, 0.686, 8.872]],
  "species": ["Tm", "Tm", "Tm", "Tm", "Tm", "Tm", "Tm", "Tm", "Al", "Al", "Cd"],
  "fractional_positions": [[0.404, 0.533, 0.808], [0.666, 0.948, 0.333], [0.806, 0.714, 0.612], [0.974, 0.245, 0.949], [0.194, 0.286, 0.388], [0.334, 0.052, 0.667], [0.596, 0.467, 0.192], [0.026, 0.755, 0.051], [0.807, 0.291, 0.613], [0.193, 0.709, 0.387], [0.500, 0.000, 0.000]]
}

6.
{
  "formula": "TmAlCd",
  "functional": "PBE",
  "state": "optimized geometry",
  "sg": "P-6m2 (187)",
  "magnetic_moment_mub_per_fu": 0.0,
  "formation_enthalpy_0k_mev_per_atom": -355,
  "cell": [[-0.618, 0.683, 3.371], [-4.592, -0.602, -0.719], [2.677, -3.645, 1.229]],
  "species": ["Tm", "Al", "Cd"],
  "fractional_positions": [[0.667, 0.667, 0.333], [0.166, 0.333, 0.667], [0.167, 0.000, 0.000]]
}

7.
{
  "formula": "Tm6Al3Cd2",
  "functional": "PBE",
  "state": "optimized geometry",
  "sg": "I4/mmm (139)",
  "magnetic_moment_mub_per_fu": 0.0,
  "formation_enthalpy_0k_mev_per_atom": 162,
  "cell": [[5.644, 0.000, 0.000], [0.000, 5.644, 0.000], [-2.822, -2.822, 9.887]],
  "species": ["Tm", "Tm", "Tm", "Tm", "Tm", "Tm", "Al", "Al", "Al", "Cd", "Cd"],
  "fractional_positions": [[0.095, 0.595, 0.189], [0.595, 0.095, 0.189], [0.905, 0.405, 0.811], [0.405, 0.905, 0.811], [0.715, 0.715, 0.430], [0.285, 0.285, 0.570], [0.000, 0.000, 0.000], [0.859, 0.859, 0.719], [0.141, 0.141, 0.281], [0.434, 0.434, 0.869], [0.566, 0.566, 0.131]]
}

8.
{
  "formula": "Tm4AlCd",
  "functional": "PBE",
  "state": "optimized geometry",
  "e_above_lowest_polymorph_mev_per_atom": 250,
  "sg": "R-3m (166)",
  "magnetic_moment_mub_per_fu": 0.0,
  "formation_enthalpy_0k_mev_per_atom": 39,
  "cell": [[5.015, 0.000, 0.000], [2.508, 4.336, 0.251], [2.508, 0.969, 8.308]],
  "species": ["Tm", "Tm", "Tm", "Tm", "Al", "Cd"],
  "fractional_positions": [[0.623, 0.623, 0.131], [0.377, 0.377, 0.869], [0.126, 0.127, 0.620], [0.874, 0.873, 0.380], [0.500, 0.500, 0.500], [0.000, 0.000, 0.000]]
}

9.
{
  "formula": "Tm7Al2Cd2",
  "functional": "PBE",
  "state": "optimized geometry",
  "sg": "Cmmm (65)",
  "magnetic_moment_mub_per_fu": 0.0,
  "formation_enthalpy_0k_mev_per_atom": 17,
  "cell": [[6.512, -0.003, -1.127], [0.004, 7.813, 0.003], [-1.531, -0.002, 6.429]],
  "species": ["Tm", "Tm", "Tm", "Tm", "Tm", "Tm", "Tm", "Al", "Al", "Cd", "Cd"],
  "fractional_positions": [[0.000, 0.286, 0.500], [0.500, 0.714, 0.000], [0.000, 0.714, 0.500], [0.500, 0.286, 0.000], [0.000, 0.000, 0.000], [0.500, 0.764, 0.500], [0.500, 0.236, 0.500], [0.714, 0.000, 0.286], [0.286, 0.000, 0.714], [0.812, 0.500, 0.812], [0.188, 0.500, 0.188]]
}

10.
{
  "formula": "Tm6Al2Cd",
  "functional": "PBE",
  "state": "optimized geometry",
  "sg": "C2/m (12)",
  "magnetic_moment_mub_per_fu": 0.0,
  "formation_enthalpy_0k_mev_per_atom": 25,
  "cell": [[-4.382, 1.321, -1.976], [-2.739, -6.309, 1.856], [1.446, 5.361, 6.686]],
  "species": ["Tm", "Tm", "Tm", "Tm", "Tm", "Tm", "Al", "Al", "Cd"],
  "fractional_positions": [[0.168, 0.419, 0.337], [0.832, 0.083, 0.663], [0.832, 0.581, 0.663], [0.500, 0.254, 0.000], [0.168, 0.917, 0.337], [0.500, 0.746, 0.000], [0.667, 0.667, 0.334], [0.333, 0.333, 0.666], [0.000, 0.000, 0.000]]
}

11.
{
  "formula": "Tm8Al2Cd",
  "functional": "PBE",
  "state": "optimized geometry",
  "e_above_lowest_polymorph_mev_per_atom": 23,
  "sg": "Immm (71)",
  "magnetic_moment_mub_per_fu": 0.0,
  "formation_enthalpy_0k_mev_per_atom": -127,
  "cell": [[4.739, 0.000, -1.439], [-1.018, 7.540, -3.353], [0.023, -0.757, 8.599]],
  "species": ["Tm", "Tm", "Tm", "Tm", "Tm", "Tm", "Tm", "Tm", "Al", "Al", "Cd"],
  "fractional_positions": [[0.659, 0.871, 0.318], [0.341, 0.553, 0.682], [0.145, 0.145, 0.291], [0.000, 0.313, 0.000], [0.855, 0.855, 0.709], [0.659, 0.447, 0.318], [0.341, 0.129, 0.682], [0.000, 0.687, 0.000], [0.196, 0.696, 0.391], [0.804, 0.304, 0.609], [0.500, 0.000, 0.000]]
}

Copy entry 2 word for word.
{
  "formula": "Tm8AlCd2",
  "functional": "PBE",
  "state": "optimized geometry",
  "sg": "C2/m (12)",
  "magnetic_moment_mub_per_fu": 0.0,
  "formation_enthalpy_0k_mev_per_atom": -138,
  "cell": [[-1.724, -2.887, 3.928], [3.297, -5.525, -2.614], [6.457, 5.510, 3.482]],
  "species": ["Tm", "Tm", "Tm", "Tm", "Tm", "Tm", "Tm", "Tm", "Al", "Cd", "Cd"],
  "fractional_positions": [[0.408, 0.546, 0.815], [0.663, 0.962, 0.327], [0.806, 0.709, 0.612], [0.978, 0.229, 0.956], [0.194, 0.291, 0.388], [0.337, 0.038, 0.673], [0.592, 0.454, 0.185], [0.022, 0.771, 0.044], [0.500, 0.000, 0.000], [0.815, 0.291, 0.629], [0.185, 0.709, 0.371]]
}